Material: Pr3Si4Tc2
Method: DFT, PBE
State: optimized geometry

Cell: 6.034 6.034 8.385 Å, 107.43 107.43 41.26°
Sites, in units of the cell vectors:
Pr  0.000  0.000  0.000
Pr  0.383  0.383  0.303
Pr  0.617  0.617  0.697
Si  0.112  0.112  0.407
Si  0.283  0.283  0.923
Si  0.717  0.717  0.077
Si  0.888  0.888  0.593
Tc  0.311  0.311  0.647
Tc  0.689  0.689  0.353

SG: No. 12
E_form (uncorrected): -0.611 eV/atom
Calculated volume: 21.2 Å³ per atom
Magnetization: 0.00 μB/f.u.